Entry 1:
The following is a PBE-GGA calculation of an optimized crystal structure of CaDyPtO4, from the Alexandria database.

Computed properties:
Energy relative to the elements, uncorrected: -2130 meV/atom
N(E_F): 0.014 states/eV/atom
E: -94.8 eV per cell

```
14
Lattice="-6.519 0.632 0.457 2.821 -0.688 -5.969 -0.190 -5.233 4.529" Properties=species:S:1:pos:R:3 pbc="T T T"
O -0.351 -3.798 0.241
O -4.839 -3.630 3.541
O -1.867 -1.386 -4.327
O -2.021 -3.903 3.343
O -3.608 -3.468 0.486
O 0.951 -1.660 -4.524
O -0.280 -1.821 -1.469
O -3.537 -1.491 -1.225
Dy -3.354 -2.301 2.493
Dy -3.259 0.316 0.229
Ca -0.298 -4.796 2.384
Ca -3.590 -0.494 -3.367
Pt -1.944 -2.645 -0.492
Pt 1.315 -2.961 -0.720
```



Entry 2:
The following is a PBE-GGA calculation of an optimized crystal structure of TaFeSi, from the Alexandria database.

Computed properties:
Energy relative to the elements, uncorrected: -618 meV/atom
N(E_F): 0.781 states/eV/atom
E: -110.4 eV per cell

```
12
Lattice="-0.267 3.356 -1.629 -4.444 1.582 3.988 4.818 2.508 4.375" Properties=species:S:1:pos:R:3 pbc="T T T"
Si -1.411 2.947 4.154
Si 0.604 5.971 5.761
Si -0.497 1.475 0.972
Si 1.518 4.499 2.579
Ta 1.242 3.324 0.203
Ta -1.584 3.801 1.649
Ta -1.135 4.122 6.530
Ta 1.691 3.645 5.084
Fe -3.532 2.349 3.272
Fe 3.639 5.097 3.462
Fe -0.362 4.962 3.841
Fe 0.469 2.484 2.893
```



Entry 3:
The following is a PBE-GGA calculation of an optimized crystal structure of RbReNF2, from the Alexandria database.

Computed properties:
Energy relative to the elements, uncorrected: 1243 meV/atom
ΔE to the lowest computed polymorph: 2314 meV per atom
N(E_F): 0.260 states/eV/atom
E: -19.3 eV per cell

```
5
Lattice="5.278 0.000 0.000 0.000 5.278 0.000 0.000 0.000 5.258" Properties=species:S:1:pos:R:3 pbc="T T T"
N 0.000 0.000 2.629
Rb 0.000 0.000 0.000
F 2.639 0.000 0.000
F 0.000 2.639 0.000
Re 2.639 2.639 2.629
```



Entry 4:
The following is a PBE-GGA calculation of an optimized crystal structure of Zr2ReN, from the Alexandria database.

Computed properties:
Energy relative to the elements, uncorrected: -112 meV/atom
N(E_F): 0.659 states/eV/atom
E: -76.6 eV per cell

```
8
Lattice="-0.956 -2.427 -5.751 5.773 1.870 -1.749 3.766 -3.435 -2.644" Properties=species:S:1:pos:R:3 pbc="T T T"
N 5.974 -0.922 -4.071
N 2.408 -0.278 -3.750
Zr 1.139 -1.956 -4.034
Zr 5.072 -2.642 -4.929
Zr 4.357 -0.179 -2.913
Zr 6.598 -3.206 -8.412
Re 0.000 0.000 0.000
Re 2.609 -3.070 -6.072
```



Q: The highest E belongs to which entry?
A: RbReNF2



Please write out number 4 again, unchanged.
The following is a PBE-GGA calculation of an optimized crystal structure of Zr2ReN, from the Alexandria database.

Computed properties:
Energy relative to the elements, uncorrected: -112 meV/atom
N(E_F): 0.659 states/eV/atom
E: -76.6 eV per cell

```
8
Lattice="-0.956 -2.427 -5.751 5.773 1.870 -1.749 3.766 -3.435 -2.644" Properties=species:S:1:pos:R:3 pbc="T T T"
N 5.974 -0.922 -4.071
N 2.408 -0.278 -3.750
Zr 1.139 -1.956 -4.034
Zr 5.072 -2.642 -4.929
Zr 4.357 -0.179 -2.913
Zr 6.598 -3.206 -8.412
Re 0.000 0.000 0.000
Re 2.609 -3.070 -6.072
```



Q: Among the records above, which one has the lowest energy relative to the elements, uncorrected?
A: CaDyPtO4